DFT (PBE-GGA) results for a relaxed structure of Rb5Na2Sn4.

The structure in POSCAR format:
```
Rb5Na2Sn4
1.0
7.0242 0.0000 0.0000
3.5121 8.1638 1.4216
3.5121 3.3962 9.7250
Na Rb Sn
2 5 4
Direct
0.2338 0.9188 0.6136 Na
0.7662 0.0812 0.3864 Na
0.3631 0.7068 0.0764 Rb
0.1463 0.2932 0.9236 Rb
0.6369 0.2932 0.9236 Rb
0.8537 0.7068 0.0764 Rb
0.0000 0.5000 0.5000 Rb
0.6015 0.0954 0.7016 Sn
0.7614 0.7418 0.7354 Sn
0.3985 0.9046 0.2984 Sn
0.2386 0.2582 0.2646 Sn
```

Results
- formation energy from the elements (eV per atom) = 0.00
- M_tot (μB/f.u.) = 0.0
- symmetry = C2/m

DFT (PBE-GGA) results for a relaxed structure of Zr2PaAl.

The structure in POSCAR format:
```
Zr2PaAl
1.0
-1.5923 -0.2633 -4.6888
2.7176 -2.3575 -3.4126
-1.5558 -4.3294 -1.8507
Pa Zr Al
1 2 1
Direct
0.5000 0.5000 0.5000 Pa
0.7500 0.7500 0.7500 Zr
0.2500 0.2500 0.2500 Zr
0.0000 0.0000 0.0000 Al
```

Results
- formation energy from the elements (eV per atom) = -0.07
- M_tot (μB/f.u.) = 0.0
- symmetry = Fm-3m